Entry 1:
Here is a relaxed structure of Ac3MgZn2Au6 from Alexandria via LeMat-Bulk. Energies are from GGA-PBE.

abc: 6.5160 6.5160 8.4787
angles: 90.00 90.00 120.00
Atoms (fractional coordinates):
Ac1 0.6667 0.3333 0.3634
Zn1 0.6667 0.3333 0.9732
Mg1 0.0000 0.0000 0.5000
Zn2 0.3333 0.6667 0.0268
Ac2 0.3333 0.6667 0.6366
Au1 0.6322 0.8161 0.2864
Au2 0.8161 0.1839 0.7136
Au3 0.8161 0.6322 0.7136
Au4 0.1839 0.8161 0.2864
Au5 0.3678 0.1839 0.7136
Au6 0.1839 0.3678 0.2864
Ac3 0.0000 0.0000 0.0000

Values from the calculation:
- DFT formation energy (eV/atom) = -0.527
- M_tot (Bohr magnetons per cell) = 0.00

---

Entry 2:
Here is a relaxed structure of CsTlVCl4 from Alexandria via LeMat-Bulk. Energies are from GGA-PBE.

abc: 6.4663 7.5272 10.3870
angles: 90.00 113.39 90.00
Last column: magnetic moment on the atom in μB.
Atoms (fractional coordinates):
Cs1 0.7093 0.7500 0.9280  0.00
Cl1 0.0125 0.4992 0.2606  -0.01
V1 0.2442 0.7500 0.3119  2.52
Cl2 0.6561 0.2500 0.8848  0.00
Cl3 0.9875 0.9992 0.7394  -0.01
Cl4 0.9875 0.5008 0.7394  -0.01
Cl5 0.3439 0.7500 0.1152  0.00
Tl1 0.8302 0.7500 0.4721  0.03
Cl6 0.0125 0.0008 0.2606  -0.01
Tl2 0.1698 0.2500 0.5279  0.03
V2 0.7558 0.2500 0.6881  2.52
Cl7 0.3560 0.7500 0.5613  0.01
Cs2 0.2907 0.2500 0.0720  0.00
Cl8 0.6440 0.2500 0.4387  0.01

Values from the calculation:
- M_tot (Bohr magnetons per cell) = 6.00
- E_form (uncorrected) (eV/atom) = -1.2590

---

Entry 3:
Here is a relaxed structure of HgBOs2 from Alexandria via LeMat-Bulk. Energies are from GGA-PBE.

abc: 4.5743 4.5743 7.7308
angles: 72.79 72.79 90.00
Atoms (fractional coordinates):
B1 0.2500 0.7500 0.5000
Hg1 0.0000 0.0000 0.0000
Os1 0.4713 0.1250 0.2500
Os2 0.8750 0.7213 0.7500
Hg2 0.7500 0.2500 0.5000
Os3 0.2787 0.6250 0.2500
B2 0.5000 0.5000 0.0000
Os4 0.3750 0.5287 0.7500

Values from the calculation:
- DFT formation energy (eV/atom) = 1.118
- M_tot (Bohr magnetons per cell) = 0.00
- offset from the most stable computed form (eV/atom) = 0.000

---

Entry 4:
Here is a relaxed structure of Fe2CuPd5 from Alexandria via LeMat-Bulk. Energies are from GGA-PBE.

abc: 3.9929 4.8168 13.4050
angles: 90.00 90.00 114.49
Last column: magnetic moment on the atom in μB.
Atoms (fractional coordinates):
Pd1 0.0496 0.0991 0.0986  0.21
Fe1 0.2405 0.4811 0.8549  3.15
Pd2 0.9504 0.9009 0.9014  0.21
Pd3 0.6487 0.2974 0.5388  0.27
Pd4 0.3513 0.7026 0.4612  0.27
Fe2 0.7595 0.5189 0.1451  3.15
Pd5 0.9504 0.9009 0.5986  0.21
Cu1 0.2101 0.4202 0.2500  0.14
Cu2 0.7899 0.5798 0.7500  0.14
Pd6 0.6487 0.2974 0.9612  0.27
Pd7 0.0496 0.0991 0.4014  0.21
Fe3 0.2405 0.4811 0.6451  3.15
Pd8 0.4993 0.9987 0.2500  0.24
Pd9 0.5007 0.0013 0.7500  0.24
Fe4 0.7595 0.5189 0.3549  3.15
Pd10 0.3513 0.7026 0.0388  0.27

Values from the calculation:
- DFT formation energy (eV/atom) = 0.018
- M_tot (Bohr magnetons per cell) = 15.06
- offset from the most stable computed form (eV/atom) = 0.100

---

Entry 5:
Here is a relaxed structure of Tc2Ge4Mo from Alexandria via LeMat-Bulk. Energies are from GGA-PBE.

abc: 4.7632 4.7632 7.0992
angles: 70.40 70.40 90.00
Last column: magnetic moment on the atom in μB.
Atoms (fractional coordinates):
Tc1 0.6000 0.6000 0.8000  0.93
Ge1 0.2052 0.2052 0.5896  -0.01
Mo1 0.0000 0.0000 0.0000  -0.05
Tc2 0.4000 0.4000 0.2000  0.93
Ge2 0.7948 0.7948 0.4104  -0.01
Ge3 0.5000 0.0000 0.0000  -0.03
Ge4 0.0000 0.5000 0.0000  -0.03

Values from the calculation:
- DFT formation energy (eV/atom) = 0.684
- M_tot (Bohr magnetons per cell) = 1.91

---

Entry 6:
Here is a relaxed structure of BaReTe2 from Alexandria via LeMat-Bulk. Energies are from GGA-PBE.

abc: 3.5422 4.2077 8.1613
angles: 90.00 90.00 90.00
Atoms (fractional coordinates):
Ba1 0.0000 0.0000 0.4786
Te1 0.0000 0.0000 0.8858
Te2 0.5000 0.5000 0.2294
Re1 0.5000 0.5000 0.9062

Values from the calculation:
- M_tot (Bohr magnetons per cell) = 0.00
- offset from the most stable computed form (eV/atom) = 0.463
- E_form (uncorrected) (eV/atom) = 0.1883

---

no.,DOS(E_F) (states/eV per cell),ρ (g cm⁻³),uncorrected energy (eV per cell)
1,7.30,10.75,-42.46
2,0.68,3.79,-57.08
3,5.68,13.38,-49.93
4,14.67,10.01,-93.68
5,5.98,6.82,-45.24
6,3.86,7.90,-19.90